Material: TaIn3Ir
Method: DFT, PBEsol
State: relaxed

a b c (Å): 5.167 5.167 5.167
angles (deg): 90.00 90.00 90.00
Space group Pm-3m (No. 221)
Inequivalent atoms, fractional coordinates:
Ta1 0.000 0.000 0.000 (multiplicity 1)
In1 0.000 0.000 0.500 (multiplicity 3)
Ir1 0.500 0.500 0.500 (multiplicity 1)

Electronic total energy (eV/cell): -22.66
Volume (Å³ per cell): 138.0
Magnetic moment (μB/f.u.): 0.71
Energy relative to the elements (eV per atom): 1.733